# LaFeB3 | Alexandria via LeMat-Bulk | PBE-GGA | optimized geometry
# DFT formation energy = 0.034 eV per atom
# energy relative to the lowest polymorph listed for this composition = 0.00 eV/f.u.
data_LaFeB3
_chemical_formula_sum 'La1 Fe1 B3'
_symmetry_space_group_name_H-M 'P m -3 m'
_symmetry_Int_Tables_number 221
_symmetry_space_group_name_Hall '-P 4 2 3'
_cell_length_a 3.9537
_cell_length_b 3.9537
_cell_length_c 3.9537
_cell_angle_alpha 90.00
_cell_angle_beta 90.00
_cell_angle_gamma 90.00
loop_
_atom_site_label
_atom_site_type_symbol
_atom_site_fract_x
_atom_site_fract_y
_atom_site_fract_z
La1 La 0.0000 0.0000 0.0000
Fe1 Fe 0.5000 0.5000 0.5000
B1 B 0.0000 0.5000 0.5000

# NaSc2B | Alexandria via LeMat-Bulk | PBE-GGA | optimized geometry
# DFT formation energy = 0.036 eV per atom
data_NaSc2B
_chemical_formula_sum 'Na3 Sc6 B3'
_symmetry_space_group_name_H-M 'R -3 m'
_symmetry_Int_Tables_number 166
_symmetry_space_group_name_Hall '-R 3 2"'
_cell_length_a 3.5649
_cell_length_b 3.5649
_cell_length_c 28.3772
_cell_angle_alpha 90.00
_cell_angle_beta 90.00
_cell_angle_gamma 120.00
loop_
_atom_site_label
_atom_site_type_symbol
_atom_site_fract_x
_atom_site_fract_y
_atom_site_fract_z
Na1 Na 0.0000 0.0000 0.0000
Sc1 Sc 0.0000 0.0000 0.1247
B1 B 0.0000 0.0000 0.5000

# Cs2PPdS4 | Alexandria via LeMat-Bulk | PBE-GGA | optimized geometry
# uncorrected energy = -273.08 eV for the cell shown
data_Cs2PPdS4
_chemical_formula_sum 'Cs16 P8 Pd8 S32'
_symmetry_space_group_name_H-M 'F d d d'
_symmetry_Int_Tables_number 70
_cell_length_a 6.3777
_cell_length_b 13.3891
_cell_length_c 23.9845
_cell_angle_alpha 90.00
_cell_angle_beta 90.00
_cell_angle_gamma 90.00
loop_
_symmetry_equiv_pos_as_xyz
'x,y,z'
'-x,-y,-z'
'-x+1/4,-y+1/4,z'
'x+1/4,y+1/4,-z'
'x,-y+1/4,-z+1/4'
'-x,y+1/4,z+1/4'
'-x+1/4,y,-z+1/4'
'x+1/4,-y,z+1/4'
'x,y+1/2,z+1/2'
'-x,-y+1/2,-z+1/2'
'-x+1/4,-y+3/4,z+1/2'
'x+1/4,y+3/4,-z+1/2'
'x,-y+3/4,-z+3/4'
'-x,y+3/4,z+3/4'
'-x+1/4,y+1/2,-z+3/4'
'x+1/4,-y+1/2,z+3/4'
'x+1/2,y,z+1/2'
'-x+1/2,-y,-z+1/2'
'-x+3/4,-y+1/4,z+1/2'
'x+3/4,y+1/4,-z+1/2'
'x+1/2,-y+1/4,-z+3/4'
'-x+1/2,y+1/4,z+3/4'
'-x+3/4,y,-z+3/4'
'x+3/4,-y,z+3/4'
'x+1/2,y+1/2,z'
'-x+1/2,-y+1/2,-z'
'-x+3/4,-y+3/4,z'
'x+3/4,y+3/4,-z'
'x+1/2,-y+3/4,-z+1/4'
'-x+1/2,y+3/4,z+1/4'
'-x+3/4,y+1/2,-z+1/4'
'x+3/4,-y+1/2,z+1/4'
loop_
_atom_site_label
_atom_site_type_symbol
_atom_site_fract_x
_atom_site_fract_y
_atom_site_fract_z
Cs1 Cs 0.1250 0.1250 0.3005
P1 P 0.1250 0.1250 0.6250
Pd1 Pd 0.1250 0.1250 0.1250
S1 S 0.0756 0.2881 0.8282

# TaIrCl | Alexandria via LeMat-Bulk | PBE-GGA | optimized geometry
# energy relative to the lowest polymorph listed for this composition = 0.00 eV/f.u.
data_TaIrCl
_chemical_formula_sum 'Ta1 Ir1 Cl1'
_symmetry_space_group_name_H-M 'P 3 m 1'
_symmetry_Int_Tables_number 156
_cell_length_a 2.9374
_cell_length_b 2.9374
_cell_length_c 7.3908
_cell_angle_alpha 90.00
_cell_angle_beta 90.00
_cell_angle_gamma 120.00
loop_
_symmetry_equiv_pos_as_xyz
'x,y,z'
'-y,x-y,z'
'-x+y,-x,z'
'-y,-x,z'
'-x+y,y,z'
'x,x-y,z'
loop_
_atom_site_label
_atom_site_type_symbol
_atom_site_fract_x
_atom_site_fract_y
_atom_site_fract_z
Ta1 Ta 0.0000 0.0000 0.0000
Ir1 Ir 0.3333 0.6667 0.7130
Cl1 Cl 0.6667 0.3333 0.2560

# CaAs4Ir | Alexandria via LeMat-Bulk | PBE-GGA | optimized geometry
# DFT formation energy = 0.287 eV per atom
data_CaAs4Ir
_chemical_formula_sum 'Ca4 As16 Ir4'
_symmetry_space_group_name_H-M 'F -4 3 m'
_symmetry_Int_Tables_number 216
_symmetry_space_group_name_Hall 'F -4 2 3'
_cell_length_a 7.8117
_cell_length_b 7.8117
_cell_length_c 7.8117
_cell_angle_alpha 90.00
_cell_angle_beta 90.00
_cell_angle_gamma 90.00
loop_
_atom_site_label
_atom_site_type_symbol
_atom_site_fract_x
_atom_site_fract_y
_atom_site_fract_z
Ca1 Ca 0.0000 0.0000 0.0000
As1 As 0.1250 0.1250 0.3750
Ir1 Ir 0.2500 0.2500 0.7500

# RbY2AuS4 | Alexandria via LeMat-Bulk | PBE-GGA | optimized geometry
# uncorrected energy = -183.78 eV for the cell shown
data_RbY2AuS4
_chemical_formula_sum 'Rb4 Y8 Au4 S16'
_symmetry_space_group_name_H-M 'C m c m'
_symmetry_Int_Tables_number 63
_symmetry_space_group_name_Hall '-C 2c 2'
_cell_length_a 4.0654
_cell_length_b 13.8387
_cell_length_c 14.1802
_cell_angle_alpha 90.00
_cell_angle_beta 90.00
_cell_angle_gamma 90.00
loop_
_atom_site_label
_atom_site_type_symbol
_atom_site_fract_x
_atom_site_fract_y
_atom_site_fract_z
Rb1 Rb 0.0000 0.1184 0.2500
Y1 Y 0.0000 0.3688 0.0659
Au1 Au 0.0000 0.1598 0.7500
S1 S 0.0000 0.0000 0.0000
S2 S 0.0000 0.2595 0.6004
S3 S 0.0000 0.4428 0.2500

# Tb6Nd2Y3Pb | Alexandria via LeMat-Bulk | PBE-GGA | optimized geometry
# DFT formation energy = -0.063 eV per atom
data_Tb6Nd2Y3Pb
_chemical_formula_sum 'Tb12 Nd4 Y6 Pb2'
_symmetry_space_group_name_H-M 'C 1 2/m 1'
_symmetry_Int_Tables_number 12
_cell_length_a 6.1435
_cell_length_b 10.6464
_cell_length_c 11.8297
_cell_angle_alpha 90.00
_cell_angle_beta 99.99
_cell_angle_gamma 90.00
loop_
_symmetry_equiv_pos_as_xyz
'x,y,z'
'-x,-y,-z'
'-x,y,-z'
'x,-y,z'
'x+1/2,y+1/2,z'
'-x+1/2,-y+1/2,-z'
'-x+1/2,y+1/2,-z'
'x+1/2,-y+1/2,z'
loop_
_atom_site_label
_atom_site_type_symbol
_atom_site_fract_x
_atom_site_fract_y
_atom_site_fract_z
Tb1 Tb 0.2428 0.0000 0.2492
Tb2 Tb 0.2464 0.1633 0.7500
Nd1 Nd 0.0000 0.3338 0.5000
Y1 Y 0.0000 0.1673 0.0000
Y2 Y 0.0000 0.5000 0.0000
Pb1 Pb 0.0000 0.0000 0.5000

| no. | density (g/cm³) | M_tot (μB/atom) |
| --- | --- | --- |
| 1 | 6.104 | 0.0000 |
| 2 | 1.973 | 0.0000 |
| 3 | 3.447 | 0.1243 |
| 4 | 12.286 | 0.0000 |
| 5 | 7.412 | 0.0001 |
| 6 | 4.900 | 0.0000 |
| 7 | 7.479 | 0.0000 |